DFT (GGA-PBE) results for a geometry-optimized KYOs2 structure.

a b c (Å): 11.306 11.306 11.306
angles (deg): 15.14 15.14 15.14
Element x y z (fractional)
Os  0.260  0.260  0.260
Os  0.985  0.985  0.985
K  0.739  0.739  0.739
Y  0.517  0.517  0.517

## Properties
Space group = R3m, No. 160
Formation enthalpy at 0 K = 3.861 eV/f.u.
Magnetization = 0.087 μB per atom